This record from the Alexandria database describes Fe2GeO after structural relaxation. The functional is PBE with a Hubbard U. Values from VASP.

Output
Volume (Å³/f.u.): 53
E (eV/atom): -4.76
Theoretical density (Mg/m³): 6.32

```
&SYSTEM
  ibrav = 0, nat = 4, ntyp = 3
/
ATOMIC_SPECIES
Ge 72.64 Ge.upf
O 16.00 O.upf
Fe 55.84 Fe.upf
CELL_PARAMETERS angstrom
-3.5645 -1.7513 1.3877
-2.3090 1.9602 2.9196
-3.7133 1.6839 -1.0363
ATOMIC_POSITIONS angstrom
Ge -4.7934 0.9464 1.6355
O 0.0000 0.0000 0.0000
Fe -2.3967 0.4732 0.8177
Fe -7.1901 1.4196 2.4532
```